Here is a geometry-optimized ZrNiI2O structure from the Alexandria database. Energies are from PBE with a Hubbard U.

Cell and atoms, written as POSCAR:
```
ZrNiI2O
1.0
5.590 0.000 0.000
0.000 5.590 0.000
0.000 0.000 3.572
Zr Ni I O
1 1 2 1
Cartesian
0.000 0.000 0.000
2.795 2.795 1.786
0.000 2.795 1.786
2.795 0.000 1.786
2.795 2.795 0.000
```

Raw total energy = -3.806 eV per atom
Density of states at the Fermi level = 3.2 states/eV/f.u.
Total magnetization = 3.10 μB per cell
Energy above the lowest structure with this stoichiometry = 350.6 meV per atom
Space-group type = P4/mmm